# K2YVF6 | Alexandria via LeMat-Bulk | PBE+U | relaxed
# - E (eV/atom) = -5.65
# - D(E_F) (states/eV/cell) = 2.5
data_K2YVF6
_cell_length_a 5.941
_cell_length_b 8.750
_cell_length_c 6.599
_cell_angle_alpha 90.00
_cell_angle_beta 90.00
_cell_angle_gamma 90.00
_symmetry_space_group_name_H-M 'P m m n'
_symmetry_Int_Tables_number 59
loop_
_symmetry_equiv_pos_as_xyz
'x,y,z'
'-x,-y,-z'
'-x+1/2,-y+1/2,z'
'x+1/2,y+1/2,-z'
'x+1/2,-y,-z'
'-x+1/2,y,z'
'-x,y+1/2,-z'
'x,-y+1/2,z'
loop_
_atom_site_label
_atom_site_fract_x
_atom_site_fract_y
_atom_site_fract_z
_atom_site_occupancy
K1 0.250 0.022 0.219 1
Y1 0.250 0.250 0.729 1
V1 0.250 0.750 0.762 1
F1 0.013 0.250 0.012 1
F2 0.024 0.250 0.449 1
F3 0.250 0.503 0.768 1